<one>
An optimized crystal structure of Rb2Os2O5. Source: OQMD, functional PBE.

Geometry as CIF:
```
data_Rb2Os2O5
_cell_length_a 3.320
_cell_length_b 3.320
_cell_length_c 12.138
_cell_angle_alpha 90.00
_cell_angle_beta 90.00
_cell_angle_gamma 90.00
_space_group_name_H-M_alt 'P 4/m m m'
_space_group_IT_number 123
_space_group_name_Hall '-P 4 2'
loop_
_atom_site_label
_atom_site_fract_x
_atom_site_fract_y
_atom_site_fract_z
Rb1 0.000 0.000 0.234
Os1 0.500 0.500 0.000
Os2 0.500 0.500 0.500
O1 0.000 0.000 0.000
O2 0.000 0.500 0.406
```

<two>
An optimized crystal structure of Rb2Os2O5. Source: OQMD, functional PBE.

Geometry as CIF:
```
data_Rb2Os2O5
_cell_length_a 3.836
_cell_length_b 3.836
_cell_length_c 9.008
_cell_angle_alpha 90.00
_cell_angle_beta 90.00
_cell_angle_gamma 90.00
_space_group_name_H-M_alt 'P 4/m m m'
_space_group_IT_number 123
_space_group_name_Hall '-P 4 2'
loop_
_atom_site_label
_atom_site_fract_x
_atom_site_fract_y
_atom_site_fract_z
Rb1 0.000 0.000 0.000
Rb2 0.000 0.000 0.500
Os1 0.500 0.500 0.238
O1 0.000 0.500 0.250
O2 0.500 0.500 0.000
```

Most stable one: <two>, least stable one: <one>.

<one>
An optimized crystal structure of RbOsSO. Source: OQMD, functional PBE.

Geometry as CIF:
```
data_RbOsSO
_cell_length_a 6.555
_cell_length_b 8.827
_cell_length_c 5.779
_cell_angle_alpha 90.00
_cell_angle_beta 90.00
_cell_angle_gamma 90.00
_space_group_name_H-M_alt 'P c a 21'
_space_group_IT_number 29
_space_group_name_Hall 'P 2c -2ac'
loop_
_atom_site_label
_atom_site_fract_x
_atom_site_fract_y
_atom_site_fract_z
Rb1 0.075 0.158 0.000
Os1 0.112 0.637 0.998
S1 0.132 0.500 0.669
O1 0.049 0.841 0.992
```

<two>
An optimized crystal structure of RbOsSO. Source: OQMD, functional PBE.

Geometry as CIF:
```
data_RbOsSO
_cell_length_a 4.266
_cell_length_b 4.266
_cell_length_c 9.591
_cell_angle_alpha 90.00
_cell_angle_beta 90.00
_cell_angle_gamma 90.00
_space_group_name_H-M_alt 'P 4/n m m'
_space_group_IT_number 129
loop_
_space_group_symop_operation_xyz
'x,y,z'
'-x,-y,-z'
'-y+1/2,x,z'
'y+1/2,-x,-z'
'-x+1/2,-y+1/2,z'
'x+1/2,y+1/2,-z'
'y,-x+1/2,z'
'-y,x+1/2,-z'
'x+1/2,-y,-z'
'-x+1/2,y,z'
'-y,-x,-z'
'y,x,z'
'-x,y+1/2,-z'
'x,-y+1/2,z'
'y+1/2,x+1/2,-z'
'-y+1/2,-x+1/2,z'
loop_
_atom_site_label
_atom_site_fract_x
_atom_site_fract_y
_atom_site_fract_z
Rb1 0.250 0.750 0.000
Os1 0.250 0.250 0.460
S1 0.250 0.250 0.229
O1 0.250 0.750 0.500
```

Most stable one: <one>, least stable one: <two>.

<one>
An optimized crystal structure of RbOsSeO. Source: OQMD, functional PBE.

Geometry as CIF:
```
data_RbOsSeO
_cell_length_a 4.257
_cell_length_b 4.257
_cell_length_c 10.220
_cell_angle_alpha 90.00
_cell_angle_beta 90.00
_cell_angle_gamma 90.00
_space_group_name_H-M_alt 'P 4/n m m'
_space_group_IT_number 129
loop_
_space_group_symop_operation_xyz
'x,y,z'
'-x,-y,-z'
'-y+1/2,x,z'
'y+1/2,-x,-z'
'-x+1/2,-y+1/2,z'
'x+1/2,y+1/2,-z'
'y,-x+1/2,z'
'-y,x+1/2,-z'
'x+1/2,-y,-z'
'-x+1/2,y,z'
'-y,-x,-z'
'y,x,z'
'-x,y+1/2,-z'
'x,-y+1/2,z'
'y+1/2,x+1/2,-z'
'-y+1/2,-x+1/2,z'
loop_
_atom_site_label
_atom_site_fract_x
_atom_site_fract_y
_atom_site_fract_z
Rb1 0.250 0.750 0.000
Os1 0.250 0.250 0.461
Se1 0.250 0.250 0.232
O1 0.250 0.750 0.500
```

<two>
An optimized crystal structure of RbOsSeO. Source: OQMD, functional PBE.

Geometry as CIF:
```
data_RbOsSeO
_cell_length_a 4.368
_cell_length_b 7.076
_cell_length_c 7.154
_cell_angle_alpha 90.00
_cell_angle_beta 90.00
_cell_angle_gamma 90.00
_space_group_name_H-M_alt 'P m c 21'
_space_group_IT_number 26
_space_group_name_Hall 'P 2c -2'
loop_
_atom_site_label
_atom_site_fract_x
_atom_site_fract_y
_atom_site_fract_z
Rb1 0.000 0.194 0.000
Os1 0.500 0.435 0.420
Se1 0.000 0.285 0.470
O1 0.500 0.457 0.160
```

<three>
An optimized crystal structure of RbOsSeO. Source: OQMD, functional PBE.

Geometry as CIF:
```
data_RbOsSeO
_cell_length_a 5.273
_cell_length_b 5.728
_cell_length_c 14.089
_cell_angle_alpha 97.32
_cell_angle_beta 97.15
_cell_angle_gamma 91.63
_space_group_name_H-M_alt 'P -1'
_space_group_IT_number 2
_space_group_name_Hall '-P 1'
loop_
_atom_site_label
_atom_site_fract_x
_atom_site_fract_y
_atom_site_fract_z
Rb1 0.210 0.258 0.035
Rb2 0.247 0.269 0.533
Os1 0.428 0.795 0.187
Os2 0.441 0.825 0.690
Se1 0.151 0.983 0.287
Se2 0.311 0.521 0.777
O1 0.271 0.789 0.569
O2 0.337 0.779 0.059
```

<four>
An optimized crystal structure of RbOsSeO. Source: OQMD, functional PBE.

Geometry as CIF:
```
data_RbOsSeO
_cell_length_a 5.447
_cell_length_b 5.071
_cell_length_c 14.034
_cell_angle_alpha 90.00
_cell_angle_beta 96.33
_cell_angle_gamma 90.00
_space_group_name_H-M_alt 'P 1 21 1'
_space_group_IT_number 4
_space_group_name_Hall 'P 2yb'
loop_
_atom_site_label
_atom_site_fract_x
_atom_site_fract_y
_atom_site_fract_z
Rb1 0.117 0.000 0.170
Rb2 0.366 0.972 0.847
Os1 0.114 0.171 0.582
Os2 0.420 0.800 0.592
Se1 0.203 0.513 0.323
Se2 0.358 0.454 0.707
O1 0.113 0.561 0.533
O2 0.382 0.093 0.490
```

Most stable one: <three>, least stable one: <one>.

<one>
An optimized crystal structure of Re2Os2O5. Source: OQMD, functional PBE.

Geometry as CIF:
```
data_Re2Os2O5
_cell_length_a 3.302
_cell_length_b 3.302
_cell_length_c 8.445
_cell_angle_alpha 90.00
_cell_angle_beta 90.00
_cell_angle_gamma 90.00
_space_group_name_H-M_alt 'P 4/m m m'
_space_group_IT_number 123
_space_group_name_Hall '-P 4 2'
loop_
_atom_site_label
_atom_site_fract_x
_atom_site_fract_y
_atom_site_fract_z
Re1 0.000 0.000 0.166
Os1 0.500 0.500 0.000
Os2 0.500 0.500 0.500
O1 0.000 0.000 0.500
O2 0.000 0.500 0.308
```

<two>
An optimized crystal structure of Re2Os2O5. Source: OQMD, functional PBE.

Geometry as CIF:
```
data_Re2Os2O5
_cell_length_a 3.326
_cell_length_b 3.326
_cell_length_c 8.247
_cell_angle_alpha 90.00
_cell_angle_beta 90.00
_cell_angle_gamma 90.00
_space_group_name_H-M_alt 'P 4/m m m'
_space_group_IT_number 123
_space_group_name_Hall '-P 4 2'
loop_
_atom_site_label
_atom_site_fract_x
_atom_site_fract_y
_atom_site_fract_z
Re1 0.000 0.000 0.000
Re2 0.000 0.000 0.500
Os1 0.500 0.500 0.162
O1 0.000 0.500 0.317
O2 0.500 0.500 0.500
```

Most stable one: <one>, least stable one: <two>.

<one>
An optimized crystal structure of Sb2Os2O5. Source: OQMD, functional PBE.

Geometry as CIF:
```
data_Sb2Os2O5
_cell_length_a 4.232
_cell_length_b 4.232
_cell_length_c 6.724
_cell_angle_alpha 90.00
_cell_angle_beta 90.00
_cell_angle_gamma 90.00
_space_group_name_H-M_alt 'P 4/m m m'
_space_group_IT_number 123
_space_group_name_Hall '-P 4 2'
loop_
_atom_site_label
_atom_site_fract_x
_atom_site_fract_y
_atom_site_fract_z
Sb1 0.000 0.000 0.212
Os1 0.500 0.500 0.000
Os2 0.500 0.500 0.500
O1 0.000 0.000 0.500
O2 0.000 0.500 0.227
```

<two>
An optimized crystal structure of Sb2Os2O5. Source: OQMD, functional PBE.

Geometry as CIF:
```
data_Sb2Os2O5
_cell_length_a 3.855
_cell_length_b 3.855
_cell_length_c 7.241
_cell_angle_alpha 90.00
_cell_angle_beta 90.00
_cell_angle_gamma 90.00
_space_group_name_H-M_alt 'P 4/m m m'
_space_group_IT_number 123
_space_group_name_Hall '-P 4 2'
loop_
_atom_site_label
_atom_site_fract_x
_atom_site_fract_y
_atom_site_fract_z
Sb1 0.000 0.000 0.000
Sb2 0.000 0.000 0.500
Os1 0.500 0.500 0.191
O1 0.000 0.500 0.273
O2 0.500 0.500 0.500
```

Most stable one: <two>, least stable one: <one>.

<one>
An optimized crystal structure of Sc2Os2O5. Source: OQMD, functional PBE.

Geometry as CIF:
```
data_Sc2Os2O5
_cell_length_a 3.872
_cell_length_b 3.872
_cell_length_c 6.716
_cell_angle_alpha 90.00
_cell_angle_beta 90.00
_cell_angle_gamma 90.00
_space_group_name_H-M_alt 'P 4/m m m'
_space_group_IT_number 123
_space_group_name_Hall '-P 4 2'
loop_
_atom_site_label
_atom_site_fract_x
_atom_site_fract_y
_atom_site_fract_z
Sc1 0.000 0.000 0.000
Sc2 0.000 0.000 0.500
Os1 0.500 0.500 0.187
O1 0.000 0.500 0.244
O2 0.500 0.500 0.500
```

<two>
An optimized crystal structure of Sc2Os2O5. Source: OQMD, functional PBE.

Geometry as CIF:
```
data_Sc2Os2O5
_cell_length_a 3.472
_cell_length_b 3.472
_cell_length_c 8.668
_cell_angle_alpha 90.00
_cell_angle_beta 90.00
_cell_angle_gamma 90.00
_space_group_name_H-M_alt 'P 4/m m m'
_space_group_IT_number 123
_space_group_name_Hall '-P 4 2'
loop_
_atom_site_label
_atom_site_fract_x
_atom_site_fract_y
_atom_site_fract_z
Sc1 0.000 0.000 0.236
Os1 0.500 0.500 0.000
Os2 0.500 0.500 0.500
O1 0.000 0.000 0.000
O2 0.000 0.500 0.364
```

Most stable one: <two>, least stable one: <one>.